# 1
Compound: AcTm2PuO8
Source: Alexandria
Functional: PBE
Structure: optimized geometry

Geometry as POSCAR:
```
AcTm2PuO8
1.0
5.115 0.000 0.000
0.000 7.223 0.000
-0.110 0.000 5.123
Ac Tm Pu O
1 2 1 8
Cartesian
0.000 0.000 0.000
2.502 1.740 2.562
2.502 5.484 2.562
0.000 3.612 0.000
0.961 2.115 0.988
0.961 5.108 0.988
1.329 3.612 3.717
1.593 0.000 3.462
3.412 0.000 1.662
3.676 3.612 1.406
4.043 2.115 4.135
4.043 5.108 4.135
```

Calculated values
As for the energy relative to the elements, uncorrected: -3.0614 eV/atom.

# 2
Compound: K2Be
Source: Alexandria
Functional: PBE
Structure: optimized geometry

Geometry as POSCAR:
```
K2Be
1.0
6.005 0.000 0.000
0.000 4.337 0.000
-3.018 0.000 9.812
K Be
4 2
Cartesian
-0.003 0.000 1.540
-0.009 4.332 6.457
2.996 2.163 3.355
2.990 2.169 8.272
-0.015 1.140 9.810
3.003 3.309 0.001
```

Calculated values
Its formation enthalpy at 0 K is 0.46 eV/atom.

# 3
Compound: YTlPS2
Source: Alexandria
Functional: PBE
Structure: optimized geometry

Geometry as POSCAR:
```
YTlPS2
1.0
5.030 0.000 0.000
0.000 5.030 0.000
0.000 0.000 5.023
Y Tl P S
1 1 1 2
Cartesian
0.000 0.000 0.000
2.515 2.515 2.512
2.515 2.515 0.000
0.000 2.515 2.512
2.515 0.000 2.512
```

Calculated values
As for the energy relative to the elements, uncorrected: 0.1598 eV/atom.

# 4
Compound: TbPm3Y2Ho6
Source: Alexandria
Functional: PBE
Structure: optimized geometry

Geometry as POSCAR:
```
TbPm3Y2Ho6
1.0
3.092 -5.353 0.000
3.092 5.353 0.000
-2.052 0.000 11.619
Tb Pm Y Ho
1 3 2 6
Cartesian
0.000 0.000 0.000
2.066 3.567 5.809
2.066 0.000 5.809
2.066 -3.567 5.809
3.092 1.784 0.000
3.092 -1.784 0.000
1.033 1.781 2.881
0.002 0.000 8.737
1.033 -1.781 2.881
3.100 1.781 8.738
4.131 0.000 2.882
3.100 -1.781 8.738
```

Calculated values
Its formation enthalpy at 0 K is 0.02 eV/atom.

# 5
Compound: RbAg2Sn4
Source: Alexandria
Functional: PBE
Structure: optimized geometry

Geometry as POSCAR:
```
RbAg2Sn4
1.0
7.300 0.000 0.000
0.000 7.311 0.000
0.000 0.000 9.270
Rb Ag Sn
2 4 8
Cartesian
0.000 0.000 0.000
3.650 3.655 4.635
0.000 3.655 2.318
0.000 3.655 6.952
3.650 0.000 2.317
3.650 0.000 6.953
0.000 2.074 4.635
0.000 5.237 4.635
1.581 3.655 0.000
2.069 0.000 4.635
3.650 1.582 0.000
3.650 5.729 0.000
5.230 0.000 4.635
5.719 3.655 0.000
```

Calculated values
Its formation enthalpy at 0 K is 0.04 eV/atom.

# 6
Compound: KRb2PdI
Source: Alexandria
Functional: PBE
Structure: optimized geometry

Geometry as POSCAR:
```
KRb2PdI
1.0
6.453 0.000 0.000
0.000 6.453 0.000
0.000 0.000 6.146
K Rb Pd I
1 2 1 1
Cartesian
0.000 0.000 0.000
0.000 3.226 3.073
3.226 0.000 3.073
0.000 0.000 3.073
3.226 3.226 0.000
```

Calculated values
As for the energy relative to the elements, uncorrected: -0.4626 eV/atom.

Number 1: DFT total energy -8.65 eV per atom. Number 2: DFT total energy -1.51 eV per atom. Number 3: DFT total energy -4.34 eV per atom. Number 4: DFT total energy -4.92 eV per atom. Number 5: DFT total energy -3.20 eV per atom. Number 6: DFT total energy -2.42 eV per atom.